Record 1
Entry from Alexandria: a relaxed structure of NaNdSnPb (PBE).

Values from the calculation:
Symmetry: Pmmm (47)
Energy of formation from the pure elements (meV/atom): -437

Lattice parameters (Å, degrees): 4.630 4.866 4.963 90.00 90.00 90.00
Fractional positions:
Na (0.500, 0.000, 0.500)
Nd (0.500, 0.500, 0.000)
Pb (0.000, 0.500, 0.500)
Sn (0.000, 0.000, 0.000)



Record 2
Entry from Alexandria: a relaxed structure of CrGeAsH2 (PBE).

Values from the calculation:
Symmetry: P4/mmm (123)
Uncorrected energy (eV/cell): -22.8

Lattice parameters (Å, degrees): 3.591 5.521 3.591 90.00 90.00 90.00
Last column: magnetic moment on the atom in μB.
Fractional positions:
As (0.000, 0.000, 0.000)  -0.06
H (0.500, 0.000, 0.000)  0.00
H (0.000, 0.000, 0.500)  -0.01
Cr (0.500, 0.500, 0.500)  3.21
Ge (0.000, 0.500, 0.000)  -0.17



Record 3
Entry from Alexandria: a relaxed structure of Th2FeSiC (PBE).

Values from the calculation:
Symmetry: P2_1/m (11)
Energy relative to the elements, uncorrected (eV per atom): -0.45

Lattice parameters (Å, degrees): 3.988 6.361 8.363 110.51 90.00 90.00
Last column: magnetic moment on the atom in μB.
Fractional positions:
Th (0.750, 0.770, 0.032)  0.02
Th (0.250, 0.216, 0.399)  0.01
Th (0.250, 0.230, 0.968)  0.02
Th (0.750, 0.784, 0.601)  0.01
Fe (0.750, 0.487, 0.258)  0.72
Fe (0.250, 0.513, 0.742)  0.72
C (0.250, 0.819, 0.821)  0.01
C (0.750, 0.181, 0.179)  0.01
Si (0.750, 0.313, 0.704)  0.01
Si (0.250, 0.687, 0.296)  0.01



Record 4
Entry from Alexandria: a relaxed structure of Hf2Be2Cd (PBE).

Values from the calculation:
Symmetry: Cmmm (65)
Energy of formation from the pure elements (meV/atom): -147

Lattice parameters (Å, degrees): 3.360 3.736 6.735 106.10 90.00 90.00
Fractional positions:
Hf (0.500, 0.641, 0.281)
Hf (0.500, 0.359, 0.719)
Be (0.000, 0.206, 0.411)
Be (0.000, 0.794, 0.589)
Cd (0.000, 0.000, 0.000)



Record 5
Entry from Alexandria: a relaxed structure of Sc5Mo3 (PBE).

Values from the calculation:
Symmetry: P6_3/mcm (193)
Energy of formation from the pure elements (meV/atom): 243

Lattice parameters (Å, degrees): 8.079 8.078 5.752 90.00 90.00 60.00
Fractional positions:
Sc (0.743, 0.000, 0.750)
Sc (0.000, 0.743, 0.250)
Sc (0.743, 0.257, 0.250)
Sc (0.257, 0.000, 0.250)
Sc (0.000, 0.257, 0.750)
Sc (0.333, 0.333, 0.000)
Sc (0.333, 0.333, 0.500)
Sc (0.667, 0.667, 0.500)
Sc (0.257, 0.743, 0.750)
Sc (0.667, 0.667, 0.000)
Mo (0.600, 0.000, 0.250)
Mo (0.400, 0.000, 0.750)
Mo (0.600, 0.400, 0.750)
Mo (0.400, 0.600, 0.250)
Mo (0.000, 0.600, 0.750)
Mo (0.000, 0.400, 0.250)



Record 6
Entry from Alexandria: a relaxed structure of Gd2PbS4 (PBE).

Values from the calculation:
Symmetry: I-42d (122)
Energy relative to the elements, uncorrected (eV per atom): -1.59

Lattice parameters (Å, degrees): 7.429 7.429 7.429 109.35 109.35 109.72
Last column: magnetic moment on the atom in μB.
Fractional positions:
S (0.862, 0.263, 0.254)  -0.01
S (0.858, 0.759, 0.246)  -0.01
S (0.392, 0.138, 0.401)  -0.01
S (0.388, 0.142, 0.901)  -0.01
S (0.513, 0.612, 0.754)  -0.01
S (0.009, 0.608, 0.746)  -0.01
S (0.737, 0.991, 0.599)  -0.01
S (0.241, 0.487, 0.099)  -0.01
Gd (0.756, 0.375, 0.881)  6.93
Gd (0.125, 0.244, 0.619)  6.93
Gd (0.494, 0.875, 0.119)  6.93
Gd (0.625, 0.506, 0.381)  6.93
Pb (0.000, 0.000, 0.000)  0.00
Pb (0.250, 0.750, 0.500)  0.00